[1]
DFT (PBE) results for a relaxed Ca2Ga4Ir3Rh crystal.

Properties
The theoretical density is 9.2 Mg/m³. The calculation puts the total energy at -56.27 eV/cell. The calculation puts the density of states at the Fermi level at 3.7 states/eV/f.u. Its energy relative to the elements is -0.622 eV/atom.

Cell: 4.2741 4.2741 10.2130 Å, 90.00 90.00 90.00°
Space group P-4m2 (No. 115)
One atom of each set of equivalent atoms:
Ca: 0.0000 0.5000 0.2384
Ga: 0.0000 0.0000 0.5000
Ga: 0.0000 0.5000 0.8738
Ga: 0.5000 0.5000 0.5000
Ir: 0.0000 0.0000 0.0000
Ir: 0.0000 0.5000 0.6305
Rh: 0.5000 0.5000 0.0000


[2]
DFT (PBE) results for a relaxed In2SiAs crystal.

Properties
The theoretical density is 6.2 Mg/m³. The calculation puts the total energy at -28.27 eV/cell. The calculation puts the density of states at the Fermi level at 2.2 states/eV/f.u. As for the formation energy (no corrections): 0.353 eV per atom.

Cell: 4.2614 5.2483 7.9738 Å, 90.00 90.00 90.00°
Space group Cmmm (No. 65)
One atom of each set of equivalent atoms:
In: 0.0000 0.0000 0.2429
Si: 0.0000 0.5000 0.0000
As: 0.0000 0.5000 0.5000


[3]
DFT (PBE) results for a relaxed KLaCu2F8 crystal.

Properties
The theoretical density is 4.1 Mg/m³. The calculation puts the total energy at -120.40 eV/cell. As for the formation energy (no corrections): -2.584 eV per atom.

Cell: 5.7981 5.7981 10.9506 Å, 90.00 90.00 90.00°
Space group I-4 (No. 82)
One atom of each set of equivalent atoms:
K: 0.0000 0.0000 0.0000
La: 0.0000 0.5000 0.2500
Cu: 0.0000 0.0000 0.5000
Cu: 0.0000 0.5000 0.7500
F: 0.1037 0.2927 0.4401
F: 0.1599 0.7763 0.7940


[4]
DFT (PBE) results for a relaxed BaLiSbSe3 crystal.

Properties
The theoretical density is 4.9 Mg/m³. The calculation puts the total energy at -49.96 eV/cell. As for the formation energy (no corrections): -1.095 eV per atom.

Cell: 8.8995 4.2866 9.3472 Å, 90.00 105.77 90.00°
Space group P2_1/m (No. 11)
One atom of each set of equivalent atoms:
Ba: 0.2001 0.2500 0.2486
Li: 0.0890 0.2500 0.5945
Sb: 0.3265 0.7500 0.8446
Se: 0.1118 0.2500 0.8744
Se: 0.2095 0.7500 0.5228
Se: 0.4521 0.7500 0.1656


[5]
DFT (PBE) results for a relaxed Li3DyRh2 crystal.

Properties
The theoretical density is 6.5 Mg/m³. The calculation puts the total energy at -108.19 eV/cell. The calculation puts the density of states at the Fermi level at 2.6 states/eV/f.u. Its energy relative to the elements is -0.334 eV/atom.

Cell: 13.1499 4.1536 8.2149 Å, 90.00 117.82 90.00°
Space group C2/m (No. 12)
One atom of each set of equivalent atoms:
Li: 0.0574 0.0000 0.3818
Li: 0.0793 0.5000 0.6826
Li: 0.2236 0.5000 0.5525
Dy: 0.1415 0.0000 0.0201
Rh: 0.0692 0.5000 0.1804
Rh: 0.2099 0.0000 0.7405


[6]
DFT (PBE) results for a relaxed AlMoPt6 crystal.

Properties
The theoretical density is 17.5 Mg/m³. The calculation puts the total energy at -54.48 eV/cell. The calculation puts the density of states at the Fermi level at 5.1 states/eV/f.u. Its energy relative to the elements is -0.458 eV/atom.

Cell: 3.9440 3.9440 7.9112 Å, 90.00 90.00 90.00°
Space group P4/mmm (No. 123)
One atom of each set of equivalent atoms:
Al: 0.0000 0.0000 0.0000
Mo: 0.0000 0.0000 0.5000
Pt: 0.0000 0.5000 0.2519
Pt: 0.5000 0.5000 0.0000
Pt: 0.5000 0.5000 0.5000


[7]
DFT (PBE) results for a relaxed Cs2InAs2 crystal.

Properties
The theoretical density is 4.8 Mg/m³. The calculation puts the total energy at -29.82 eV/cell. The calculation puts the density of states at the Fermi level at 3.2 states/eV/f.u. Its energy relative to the elements is -0.233 eV/atom.

Cell: 7.7608 7.7608 6.0329 Å, 90.00 90.00 90.00°
Space group P4/mbm (No. 127)
One atom of each set of equivalent atoms:
Cs: 0.1789 0.3211 0.0000
In: 0.0000 0.0000 0.5000
As: 0.1109 0.6109 0.5000


[8]
DFT (PBE) results for a relaxed PrY3Ho crystal.

Properties
The theoretical density is 5.7 Mg/m³. The calculation puts the total energy at -57.39 eV/cell. The calculation puts the density of states at the Fermi level at 9.6 states/eV/f.u. Its energy relative to the elements is 0.011 eV/atom.

Cell: 6.3083 5.7354 9.6583 Å, 90.00 108.76 90.00°
Space group P2_1/m (No. 11)
One atom of each set of equivalent atoms:
Pr: 0.1326 0.2500 0.1019
Y: 0.0658 0.7500 0.3038
Y: 0.3315 0.2500 0.4997
Y: 0.4670 0.7500 0.1029
Ho: 0.2682 0.7500 0.6986